[1]
Zr2TeN2: single point on PBEsol structure, meta-GGA SCAN.

a b c (Å): 3.7728 3.7728 11.9099
angles (deg): 90.00 90.00 90.00
Closest atoms and distances in Å follow each position.
Space group I4/mmm (No. 139)
Unique sites:
Zr 0.0000 0.0000 0.1692  4 N 2.12
Te 0.0000 0.0000 0.5000  8 Zr 3.34, 8 N 3.52
N 0.0000 0.5000 0.2500  4 Zr 2.12

Values from the calculation:
As for the total DFT energy (no corrections): -25.035 eV/atom. The calculation puts the formation energy (no corrections) at -1.5892 eV per atom. For the density, the calculation gives 6.623 g cm⁻³.

[2]
Os2RuRh: single point on PBEsol structure, meta-GGA SCAN.

a b c (Å): 3.2328 3.2328 5.3911
angles (deg): 90.00 90.00 90.00
Closest atoms and distances in Å follow each position.
Space group P4mm (No. 99)
Unique sites:
Os 0.0000 0.0000 0.0000  4 Ru 2.65, 4 Os 2.66, 2 Rh 2.68-2.71
Os 0.5000 0.5000 0.2522  4 Rh 2.66, 4 Os 2.66, 2 Ru 2.68-2.71
Ru 0.5000 0.5000 0.7496  4 Rh 2.64, 6 Os 2.65-2.71
Rh 0.0000 0.0000 0.5031  4 Ru 2.64, 6 Os 2.66-2.71

Values from the calculation:
As for the total DFT energy (no corrections): -52.539 eV/atom. The calculation puts the formation energy from the elements at 0.550 eV per atom. For the density, the calculation gives 17.225 g cm⁻³.

[3]
HfNi3: single point on PBEsol structure, meta-GGA SCAN.

a b c (Å): 5.1939 5.1939 4.2287
angles (deg): 90.00 90.00 120.00
Closest atoms and distances in Å follow each position.
Space group P6_3/mmc (No. 194)
Unique sites:
Hf 0.3333 0.6667 0.2500  12 Ni 2.60-2.64
Ni 0.1572 0.3143 0.7500  6 Ni 2.45-2.54, 4 Hf 2.60-2.64

Values from the calculation:
As for the total DFT energy (no corrections): -28.333 eV/atom. The calculation puts the formation energy from the elements at -0.535 eV per atom. For the density, the calculation gives 11.919 g cm⁻³.

[4]
TcIrAu3: single point on PBEsol structure, meta-GGA SCAN.

a b c (Å): 4.9054 4.9054 4.9054
angles (deg): 90.00 90.00 90.00
Closest atoms and distances in Å follow each position.
Space group Pm-3m (No. 221)
Unique sites:
Tc 0.0000 0.0000 0.0000  12 Au 3.47
Ir 0.5000 0.5000 0.5000  6 Au 2.45
Au 0.0000 0.5000 0.5000  2 Ir 2.45

Values from the calculation:
As for the total DFT energy (no corrections): -61.231 eV/atom. The calculation puts the formation energy from the elements at 1.495 eV per atom. For the density, the calculation gives 12.395 g cm⁻³.

[5]
YMnAs2: single point on PBEsol structure, meta-GGA SCAN.

a b c (Å): 3.2952 3.6277 12.4027
angles (deg): 90.00 90.00 90.00
Closest atoms and distances in Å follow each position.
Space group Imm2 (No. 44)
Unique sites:
Y 0.0000 0.0000 0.0000  6 As 2.83-2.85
Mn 0.0000 0.5000 0.2566  6 As 2.41-2.59
As 0.0000 0.0000 0.6149  2 Mn 2.41
As 0.0000 0.5000 0.8231  4 Mn 2.59, 2 Y 2.85

Values from the calculation:
As for the total DFT energy (no corrections): -22.309 eV/atom. The calculation puts the formation energy from the elements at -0.689 eV per atom. For the density, the calculation gives 6.579 g cm⁻³.

[6]
ZrTl2PbSe4: single point on PBEsol structure, meta-GGA SCAN.

a b c (Å): 15.6814 8.4111 6.9874
angles (deg): 90.00 108.98 90.00
Closest atoms and distances in Å follow each position.
Space group C2/c (No. 15)
Unique sites:
Zr 0.0000 0.1227 0.2500  6 Se 2.67-2.74
Tl 0.2479 0.3738 0.2308  6 Se 3.12-3.32
Pb 0.0000 0.3771 0.7500  6 Se 3.01-3.02
Se 0.1020 0.1047 0.0040  2 Zr 2.71-2.74, 1 Pb 3.02
Se 0.1100 0.3454 0.4689  1 Zr 2.67

Values from the calculation:
As for the total DFT energy (no corrections): -42.347 eV/atom. The calculation puts the formation energy (no corrections) at -0.9081 eV per atom. For the density, the calculation gives 7.797 g cm⁻³.